#a
# Tl3SnMo PBE-GGA optimized geometry
data_Tl3SnMo
_chemical_formula_sum 'Tl3 Sn1 Mo1'
_space_group_name_H-M_alt 'P m -3 m'
_space_group_IT_number 221
_space_group_name_Hall '-P 4 2 3'
_cell_length_a 5.756
_cell_length_b 5.756
_cell_length_c 5.756
_cell_angle_alpha 90.00
_cell_angle_beta 90.00
_cell_angle_gamma 90.00
loop_
_atom_site_label
_atom_site_type_symbol
_atom_site_fract_x
_atom_site_fract_y
_atom_site_fract_z
_atom_site_occupancy
Tl1 Tl 0.000 0.000 0.500 1
Sn1 Sn 0.000 0.000 0.000 1
Mo1 Mo 0.500 0.500 0.500 1
# - magnetic moment (Bohr magnetons per cell) = 4.83

---

#b
# Tl3SnMo PBE-GGA optimized geometry
data_Tl3SnMo
_chemical_formula_sum 'Tl3 Sn1 Mo1'
_space_group_name_H-M_alt 'P m -3 m'
_space_group_IT_number 221
_space_group_name_Hall '-P 4 2 3'
_cell_length_a 5.415
_cell_length_b 5.415
_cell_length_c 5.415
_cell_angle_alpha 90.00
_cell_angle_beta 90.00
_cell_angle_gamma 90.00
loop_
_atom_site_label
_atom_site_type_symbol
_atom_site_fract_x
_atom_site_fract_y
_atom_site_fract_z
_atom_site_occupancy
Tl1 Tl 0.000 0.000 0.500 1
Sn1 Sn 0.500 0.500 0.500 1
Mo1 Mo 0.000 0.000 0.000 1
# - magnetic moment (Bohr magnetons per cell) = 0.67

---

Most stable: #b. Least stable: #a.

---

#a
# TlSnMo2 PBE-GGA optimized geometry
data_TlSnMo2
_chemical_formula_sum 'Tl4 Sn4 Mo8'
_space_group_name_H-M_alt 'F m -3 m'
_space_group_IT_number 225
_space_group_name_Hall '-F 4 2 3'
_cell_length_a 6.687
_cell_length_b 6.687
_cell_length_c 6.687
_cell_angle_alpha 90.00
_cell_angle_beta 90.00
_cell_angle_gamma 90.00
loop_
_atom_site_label
_atom_site_type_symbol
_atom_site_fract_x
_atom_site_fract_y
_atom_site_fract_z
_atom_site_occupancy
Tl1 Tl 0.000 0.000 0.000 1
Sn1 Sn 0.000 0.000 0.500 1
Mo1 Mo 0.250 0.250 0.250 1
# - magnetic moment (Bohr magnetons per cell) = 0.00

---

#b
# TlSnMo2 PBE-GGA optimized geometry
data_TlSnMo2
_chemical_formula_sum 'Tl4 Sn4 Mo8'
_space_group_name_H-M_alt 'I -4 2 d'
_space_group_IT_number 122
_space_group_name_Hall 'I -4 2bw'
_cell_length_a 7.654
_cell_length_b 7.654
_cell_length_c 5.763
_cell_angle_alpha 90.00
_cell_angle_beta 90.00
_cell_angle_gamma 90.00
loop_
_atom_site_label
_atom_site_type_symbol
_atom_site_fract_x
_atom_site_fract_y
_atom_site_fract_z
_atom_site_occupancy
Tl1 Tl 0.000 0.000 0.000 1
Sn1 Sn 0.000 0.000 0.500 1
Mo1 Mo 0.241 0.250 0.625 1
# - magnetic moment (Bohr magnetons per cell) = 9.70

---

Most stable: #a. Least stable: #b.

---

#a
# Tl2SnMo PBE-GGA optimized geometry
data_Tl2SnMo
_chemical_formula_sum 'Tl8 Sn4 Mo4'
_space_group_name_H-M_alt 'F m -3 m'
_space_group_IT_number 225
_space_group_name_Hall '-F 4 2 3'
_cell_length_a 7.416
_cell_length_b 7.416
_cell_length_c 7.416
_cell_angle_alpha 90.00
_cell_angle_beta 90.00
_cell_angle_gamma 90.00
loop_
_atom_site_label
_atom_site_type_symbol
_atom_site_fract_x
_atom_site_fract_y
_atom_site_fract_z
_atom_site_occupancy
Tl1 Tl 0.250 0.250 0.250 1
Sn1 Sn 0.000 0.000 0.000 1
Mo1 Mo 0.000 0.000 0.500 1
# - magnetic moment (Bohr magnetons per cell) = 14.60

---

#b
# Tl2SnMo PBE-GGA optimized geometry
data_Tl2SnMo
_chemical_formula_sum 'Tl8 Sn4 Mo4'
_space_group_name_H-M_alt 'I -4 2 d'
_space_group_IT_number 122
_space_group_name_Hall 'I -4 2bw'
_cell_length_a 10.687
_cell_length_b 10.687
_cell_length_c 5.293
_cell_angle_alpha 90.00
_cell_angle_beta 90.00
_cell_angle_gamma 90.00
loop_
_atom_site_label
_atom_site_type_symbol
_atom_site_fract_x
_atom_site_fract_y
_atom_site_fract_z
_atom_site_occupancy
Tl1 Tl 0.001 0.250 0.125 1
Sn1 Sn 0.000 0.000 0.500 1
Mo1 Mo 0.000 0.000 0.000 1
# - magnetic moment (Bohr magnetons per cell) = 3.63

---

Most stable: #b. Least stable: #a.

---

#a
# U2SnMo PBE-GGA optimized geometry
data_U2SnMo
_chemical_formula_sum 'U2 Sn1 Mo1'
_space_group_name_H-M_alt 'P 4/m m m'
_space_group_IT_number 123
_space_group_name_Hall '-P 4 2'
_cell_length_a 4.223
_cell_length_b 4.223
_cell_length_c 4.589
_cell_angle_alpha 90.00
_cell_angle_beta 90.00
_cell_angle_gamma 90.00
loop_
_atom_site_label
_atom_site_type_symbol
_atom_site_fract_x
_atom_site_fract_y
_atom_site_fract_z
_atom_site_occupancy
U1 U 0.000 0.500 0.000 1
Sn1 Sn 0.000 0.000 0.500 1
Mo1 Mo 0.500 0.500 0.500 1
# - magnetic moment (Bohr magnetons per cell) = 2.17

---

#b
# U2SnMo PBE-GGA optimized geometry
data_U2SnMo
_chemical_formula_sum 'U6 Sn3 Mo3'
_space_group_name_H-M_alt 'R -3 m'
_space_group_IT_number 166
_space_group_name_Hall '-R 3 2"'
_cell_length_a 3.0747
_cell_length_b 3.0747
_cell_length_c 30.6967
_cell_angle_alpha 90.00
_cell_angle_beta 90.00
_cell_angle_gamma 120.00
loop_
_atom_site_label
_atom_site_type_symbol
_atom_site_fract_x
_atom_site_fract_y
_atom_site_fract_z
_atom_site_occupancy
U1 U 0.0000 0.0000 0.2415 1
Sn1 Sn 0.0000 0.0000 0.0000 1
Mo1 Mo 0.0000 0.0000 0.5000 1
# - magnetic moment (Bohr magnetons per cell) = 0.01

---

Most stable: #a. Least stable: #b.

---

#a
# USnMo2 PBE-GGA optimized geometry
data_USnMo2
_chemical_formula_sum 'U3 Sn3 Mo6'
_space_group_name_H-M_alt 'R -3 m'
_space_group_IT_number 166
_space_group_name_Hall '-R 3 2"'
_cell_length_a 3.3339
_cell_length_b 3.3339
_cell_length_c 24.2949
_cell_angle_alpha 90.00
_cell_angle_beta 90.00
_cell_angle_gamma 120.00
loop_
_atom_site_label
_atom_site_type_symbol
_atom_site_fract_x
_atom_site_fract_y
_atom_site_fract_z
_atom_site_occupancy
U1 U 0.0000 0.0000 0.0000 1
Sn1 Sn 0.0000 0.0000 0.5000 1
Mo1 Mo 0.0000 0.0000 0.2579 1
# - magnetic moment (Bohr magnetons per cell) = 0.06

---

#b
# USnMo2 PBE-GGA optimized geometry
data_USnMo2
_chemical_formula_sum 'U1 Sn1 Mo2'
_space_group_name_H-M_alt 'P 4/m m m'
_space_group_IT_number 123
_space_group_name_Hall '-P 4 2'
_cell_length_a 4.576
_cell_length_b 4.576
_cell_length_c 3.563
_cell_angle_alpha 90.00
_cell_angle_beta 90.00
_cell_angle_gamma 90.00
loop_
_atom_site_label
_atom_site_type_symbol
_atom_site_fract_x
_atom_site_fract_y
_atom_site_fract_z
_atom_site_occupancy
U1 U 0.000 0.000 0.000 1
Sn1 Sn 0.500 0.500 0.000 1
Mo1 Mo 0.000 0.500 0.500 1
# - magnetic moment (Bohr magnetons per cell) = 0.00

---

Most stable: #b. Least stable: #a.

---

#a
# VSn2Mo2 PBE-GGA optimized geometry
data_VSn2Mo2
_chemical_formula_sum 'V2 Sn4 Mo4'
_space_group_name_H-M_alt 'I 4/m m m'
_space_group_IT_number 139
_space_group_name_Hall '-I 4 2'
_cell_length_a 3.570
_cell_length_b 3.570
_cell_length_c 16.156
_cell_angle_alpha 90.00
_cell_angle_beta 90.00
_cell_angle_gamma 90.00
loop_
_atom_site_label
_atom_site_type_symbol
_atom_site_fract_x
_atom_site_fract_y
_atom_site_fract_z
_atom_site_occupancy
V1 V 0.000 0.000 0.000 1
Sn1 Sn 0.000 0.000 0.396 1
Mo1 Mo 0.000 0.500 0.250 1
# - magnetic moment (Bohr magnetons per cell) = 5.67

---

#b
# VSn2Mo2 PBE-GGA optimized geometry
data_VSn2Mo2
_chemical_formula_sum 'V2 Sn4 Mo4'
_space_group_name_H-M_alt 'I 4/m m m'
_space_group_IT_number 139
_space_group_name_Hall '-I 4 2'
_cell_length_a 3.839
_cell_length_b 3.839
_cell_length_c 13.682
_cell_angle_alpha 90.00
_cell_angle_beta 90.00
_cell_angle_gamma 90.00
loop_
_atom_site_label
_atom_site_type_symbol
_atom_site_fract_x
_atom_site_fract_y
_atom_site_fract_z
_atom_site_occupancy
V1 V 0.000 0.000 0.000 1
Sn1 Sn 0.000 0.500 0.250 1
Mo1 Mo 0.000 0.000 0.414 1
# - magnetic moment (Bohr magnetons per cell) = 0.00

---

#c
# VSn2Mo2 PBE-GGA optimized geometry
data_VSn2Mo2
_chemical_formula_sum 'V2 Sn4 Mo4'
_space_group_name_H-M_alt 'P 4/m b m'
_space_group_IT_number 127
_space_group_name_Hall '-P 4 2ab'
_cell_length_a 7.334
_cell_length_b 7.334
_cell_length_c 3.458
_cell_angle_alpha 90.00
_cell_angle_beta 90.00
_cell_angle_gamma 90.00
loop_
_atom_site_label
_atom_site_type_symbol
_atom_site_fract_x
_atom_site_fract_y
_atom_site_fract_z
_atom_site_occupancy
V1 V 0.000 0.000 0.000 1
Sn1 Sn 0.149 0.351 0.000 1
Mo1 Mo 0.149 0.649 0.500 1
# - magnetic moment (Bohr magnetons per cell) = 2.63

---

Most stable: #c. Least stable: #b.